1.
HoAl2Hg (PBE, relaxed); energy above the most stable polymorph in this dataset = 0.004 eV per atom; SG = Ama2 (40); total magnetic moment = 0.00 μB/atom
1.0
4.8237 0.0000 0.0000
0.0000 5.4915 3.1362
0.0000 -5.4915 3.1362
Al Hg Ho
4 2 2
Cartesian
1.2059 0.8215 1.4447
3.6178 -3.8316 3.1974
1.2059 3.8316 3.1974
3.6178 -0.8215 1.4447
1.2059 0.9725 4.7808
3.6178 -0.9725 4.7808
3.6178 1.8190 3.1220
1.2059 -1.8190 3.1220

---

2.
HfSi2Ir (PBE, relaxed); E_tot = -8.07 eV/atom; SG = Pmn2_1 (31); total magnetic moment = 0.00 μB/atom
1.0
4.0312 0.0000 0.0000
0.0000 5.7968 0.0000
0.0000 0.0000 5.2731
Si Ir Hf
4 2 2
Cartesian
2.0156 1.3894 1.8857
0.0000 2.0392 3.3675
2.0156 3.7576 0.7310
0.0000 4.4073 4.5222
0.0000 2.2957 0.7717
2.0156 3.5010 3.4082
0.0000 5.2784 1.8848
2.0156 0.5184 4.5213

---

3.
Li2TaSn (PBE, relaxed); E_tot = -4.66 eV/atom; SG = F-43m (216); total magnetic moment = 0.24 μB/atom
1.0
0.0000 3.2900 3.2900
3.2900 0.0000 3.2900
3.2900 3.2900 0.0000
Li Ta Sn
2 1 1
Cartesian
0.0000 0.0000 0.0000
4.9351 4.9351 4.9351
1.6450 1.6450 1.6450
3.2900 3.2900 3.2900

---

4.
HoHgNO (PBE, relaxed); energy above the most stable polymorph in this dataset = 0.188 eV per atom; SG = P4/nmm (129); total magnetic moment = 0.00 μB/atom
1.0
3.9017 0.0000 0.0000
0.0000 3.9017 0.0000
0.0000 0.0000 7.9414
N Ho Hg O
2 2 2 2
Cartesian
0.9754 0.9754 5.5569
2.9263 2.9263 2.3844
2.9263 2.9263 6.8731
0.9754 0.9754 1.0682
2.9263 0.9754 3.9707
0.9754 2.9263 3.9707
0.9754 2.9263 0.0000
2.9263 0.9754 0.0000

---

5.
Na2TlCd (PBE, relaxed); E_tot = -1.59 eV/atom; SG = Pmma (51)
1.0
5.2326 0.0000 0.0000
0.0000 5.2132 0.0000
0.0000 0.0000 7.3964
Tl Cd Na
2 2 4
Cartesian
3.9244 2.6066 4.6712
1.3081 2.6066 2.7252
1.3081 0.0000 0.8754
3.9244 0.0000 6.5210
1.3081 2.6066 6.4898
1.3081 0.0000 4.6418
3.9244 0.0000 2.7547
3.9244 2.6066 0.9066

---

6.
ZnPbSO (PBE, relaxed); energy above the most stable polymorph in this dataset = 0.009 eV per atom; SG = Pbca (61)
1.0
5.8316 0.0000 0.0000
0.0000 18.0198 0.0000
0.0000 0.0000 6.0392
O S Zn Pb
8 8 8 8
Cartesian
4.7653 5.1282 3.6229
3.9821 14.1381 3.6229
4.7653 3.8817 0.6033
3.9821 12.8916 0.6033
1.0663 12.8916 2.4163
1.8495 3.8817 2.4163
1.8495 5.1282 5.4359
1.0663 14.1381 5.4359
1.4072 7.4188 2.9677
1.5086 16.4287 2.9677
4.3229 7.4188 0.0519
4.3229 1.5911 3.0715
4.4244 16.4287 0.0519
4.4244 10.6010 3.0715
1.5086 10.6010 5.9872
1.4072 1.5911 5.9872
4.8667 12.8619 2.4142
4.8667 14.1678 5.4337
1.9509 12.8619 0.6054
0.9649 3.8520 0.6054
0.9649 5.1579 3.6250
3.8807 5.1579 5.4337
3.8807 3.8520 2.4142
1.9509 14.1678 3.6250
4.3642 7.4635 3.0064
4.3832 16.4734 3.0064
4.3832 10.5563 6.0260
1.4484 1.5464 3.0327
1.4674 10.5563 3.0327
1.4674 16.4734 0.0132
1.4484 7.4635 0.0132
4.3642 1.5464 6.0260

---

7.
TbOsPb (PBE, relaxed); E_tot = -5.87 eV/atom; SG = F-43m (216); total magnetic moment = 0.44 μB/atom
1.0
1.0134 -4.6390 0.2148
-3.3026 -3.0888 1.4648
-1.9794 -3.0111 -3.0999
Os Tb Pb
1 1 1
Cartesian
-1.0671 -2.6847 -0.3551
-3.2014 -8.0542 -1.0652
0.0000 0.0000 0.0000

---

8.
NaZrNp (PBE, relaxed); energy above the most stable polymorph in this dataset = 0.000 eV per atom; SG = F-43m (216); total magnetic moment = 1.71 μB/atom
1.0
-2.3963 -0.8462 4.2424
-3.8637 -3.0857 0.0845
0.3954 -4.3969 2.2286
Zr Na Np
1 1 1
Cartesian
0.0000 0.0000 0.0000
-1.4661 -2.0822 1.6389
-4.3984 -6.2466 4.9167

---

9.
LiTmSc (PBE, relaxed); energy above the most stable polymorph in this dataset = 0.396 eV per atom; SG = F-43m (216); total magnetic moment = 0.01 μB/atom
1.0
0.0000 3.5298 3.5298
3.5298 0.0000 3.5298
3.5298 3.5298 0.0000
Li Tm Sc
1 1 1
Cartesian
1.7649 1.7649 1.7649
0.0000 0.0000 0.0000
5.2948 5.2948 5.2948

---

10.
TaCdBF10 (PBE, relaxed); E_tot = -5.78 eV/atom; SG = P2_1/c (14); total magnetic moment = 0.00 μB/atom
1.0
7.9896 0.0000 0.0000
0.0000 9.1334 0.0000
-0.7082 0.0000 8.4370
F Ta Cd B
40 4 4 4
Cartesian
3.0105 3.9554 1.8490
2.2415 6.2745 5.0693
1.0218 5.7984 2.0737
6.1632 7.1484 6.3572
0.5028 0.8783 4.4146
6.6136 1.2317 2.1448
3.8251 2.9691 5.2892
1.8124 5.6745 7.8805
0.8569 3.6884 0.1961
2.1665 8.0257 3.6620
6.5173 6.5518 2.1387
5.0399 2.8589 3.3677
3.4563 6.1643 3.1478
4.6858 1.7078 7.5862
0.0515 5.2523 5.9197
2.5956 7.4256 0.8508
2.8065 3.0181 7.8607
6.2596 3.3350 6.3633
4.1208 7.5849 4.7948
5.1149 1.1077 4.7750
1.4691 3.8312 3.9567
6.8758 0.6856 6.7358
5.4690 3.4590 0.5565
0.7640 2.5817 6.2983
3.1022 7.5358 7.3663
0.4056 8.4479 1.7012
4.2709 5.1780 6.5880
6.4245 5.4450 8.2409
1.1182 1.9850 2.0798
6.7786 8.2551 4.0224
7.2299 3.8811 2.5173
4.1792 1.5976 1.0707
2.6564 0.6113 6.0675
3.1605 1.5486 3.6422
4.6250 8.5222 2.3695
5.8123 5.3022 4.4803
6.1664 8.3979 0.2618
4.4749 6.1153 0.5763
1.1150 0.7355 8.1752
0.6677 7.9017 6.2922
6.5481 8.5025 2.1664
1.0874 3.9357 2.0521
6.1940 5.1977 6.3849
0.7332 0.6310 6.2706
5.1316 4.8331 2.3400
2.5038 0.2664 1.8785
4.7775 8.8670 6.5585
2.1497 4.3003 6.0970
4.6317 2.4505 0.0504
4.2776 2.1163 4.2689
3.0038 7.0172 4.1681
2.6497 6.6830 8.3866

---

11.
LuScCdC (PBE, relaxed); E_tot = -5.63 eV/atom; SG = P6_3mc (186); total magnetic moment = 0.01 μB/atom
1.0
-0.1953 -2.4772 2.3194
2.5482 0.0251 -2.2495
8.7492 8.6806 10.0081
C Cd Lu Sc
2 2 2 2
Cartesian
4.4106 4.3760 5.0452
0.0360 0.0357 0.0412
8.1699 5.6759 6.7500
2.8808 0.5014 3.2689
8.7636 6.3381 9.9982
5.3035 2.8319 3.4712
2.3285 -0.1197 0.0682
5.7886 3.3865 6.5951

---

12.
RbNaHfTe3 (PBE, relaxed); E_tot = -4.49 eV/atom; SG = Pnma (62); total magnetic moment = 0.00 μB/atom
1.0
16.4160 0.0000 0.0000
0.0000 4.3126 0.0000
0.0000 0.0000 11.9852
Hf Te Na Rb
4 12 4 4
Cartesian
16.2133 3.2345 4.0322
0.2027 1.0781 7.9530
8.0053 3.2345 1.9604
8.4107 1.0781 10.0247
14.9986 3.2345 6.7447
6.0772 1.0781 2.5932
1.5626 3.2345 1.8272
9.6255 1.0781 0.7521
10.3389 3.2345 9.3920
6.7906 3.2345 11.2331
6.6455 1.0781 7.8198
14.2852 1.0781 3.3994
9.7706 3.2345 4.1654
14.8535 1.0781 10.1580
1.4174 1.0781 5.2405
2.1308 3.2345 8.5858
8.5804 3.2345 7.0515
0.3723 3.2345 10.9263
16.0437 1.0781 1.0589
7.8357 1.0781 4.9337
4.3686 3.2345 5.4933
12.0475 1.0781 6.4919
12.5766 3.2345 0.4993
3.8395 1.0781 11.4859

---

Copy entry 6 word for word.
ZnPbSO (PBE, relaxed); energy above the most stable polymorph in this dataset = 0.009 eV per atom; SG = Pbca (61)
1.0
5.8316 0.0000 0.0000
0.0000 18.0198 0.0000
0.0000 0.0000 6.0392
O S Zn Pb
8 8 8 8
Cartesian
4.7653 5.1282 3.6229
3.9821 14.1381 3.6229
4.7653 3.8817 0.6033
3.9821 12.8916 0.6033
1.0663 12.8916 2.4163
1.8495 3.8817 2.4163
1.8495 5.1282 5.4359
1.0663 14.1381 5.4359
1.4072 7.4188 2.9677
1.5086 16.4287 2.9677
4.3229 7.4188 0.0519
4.3229 1.5911 3.0715
4.4244 16.4287 0.0519
4.4244 10.6010 3.0715
1.5086 10.6010 5.9872
1.4072 1.5911 5.9872
4.8667 12.8619 2.4142
4.8667 14.1678 5.4337
1.9509 12.8619 0.6054
0.9649 3.8520 0.6054
0.9649 5.1579 3.6250
3.8807 5.1579 5.4337
3.8807 3.8520 2.4142
1.9509 14.1678 3.6250
4.3642 7.4635 3.0064
4.3832 16.4734 3.0064
4.3832 10.5563 6.0260
1.4484 1.5464 3.0327
1.4674 10.5563 3.0327
1.4674 16.4734 0.0132
1.4484 7.4635 0.0132
4.3642 1.5464 6.0260